A plane-wave DFT calculation with PBE-GGA was carried out for a geometry-optimized PrYS2O structure.

Lattice parameters (Å, degrees): 3.9710 3.9710 14.0196 90.00 90.00 90.00
Last column: nearest neighbours and their distance in Å.
Element x y z (fractional)
O1 0.0000 0.0000 0.5000  4 Pr 2.35
O2 0.5000 0.5000 0.5000  4 Pr 2.35
Y1 0.5000 0.0000 0.1205  1 S 2.50
Y2 0.0000 0.5000 0.8795  1 S 2.50
S1 0.0000 0.5000 0.0899  5 Y 2.84-2.95
S2 0.5000 0.0000 0.2988  1 Y 2.50
S3 0.5000 0.0000 0.9101  5 Y 2.84-2.95
S4 0.0000 0.5000 0.7012  1 Y 2.50
Pr1 0.0000 0.5000 0.4106  4 O 2.35
Pr2 0.5000 0.0000 0.5894  4 O 2.35

Properties
volume	22.11	Å³/atom
raw formation energy	-2.48	eV/atom
total magnetization	0.0	μB per formula unit